Density functional theory data (meta-GGA SCAN) for a PBEsol-optimized structure of TlMo2W.

Values from the calculation:
The calculation puts the density of states at the Fermi level at 0.701 states/eV/atom. Its space group is No. 216. The value obtained for the formation energy from the elements is 0.78 eV per atom. As for the excess energy over the best structure of this formula in the dataset: 0.219 eV per atom.

a = 4.558 Å, b = 4.558 Å, c = 4.558 Å
α = 60.00°, β = 60.00°, γ = 60.00°
Fractional coordinates of all 4 atoms:
W: 0.750 0.750 0.750
Mo: 0.000 0.000 0.000
Mo: 0.250 0.250 0.250
Tl: 0.500 0.500 0.500